(1)
Below is a relaxed structure of K2SiPt, with properties calculated at the PBE level.

extended XYZ file:
```
4
Lattice="4.522 0.000 0.000 0.000 4.522 0.000 0.000 0.000 5.129" Properties=species:S:1:pos:R:3 pbc="T T T"
K 0.000 0.000 1.271
K 0.000 0.000 3.859
Si 2.261 2.261 2.565
Pt 2.261 2.261 0.000
```

Calculated values
Its magnetic moment is 0.000 μB/atom. Its space group is No. 123. Its total energy is -3.104 eV/atom. The density of states at the Fermi level comes out at 2.5 states/eV/f.u.

(2)
Below is a relaxed structure of KTa2SiPt, with properties calculated at the PBE level.

extended XYZ file:
```
5
Lattice="4.821 0.000 0.000 0.000 4.821 0.000 0.000 0.000 4.709" Properties=species:S:1:pos:R:3 pbc="T T T"
K 0.000 0.000 0.000
Ta 0.000 2.410 2.354
Ta 2.410 0.000 2.354
Si 2.410 2.410 2.354
Pt 2.410 2.410 0.000
```

Calculated values
Its magnetic moment is 0.000 μB/atom. Its space group is No. 123. Its total energy is -6.313 eV/atom. The density of states at the Fermi level comes out at 6.6 states/eV/f.u.

(3)
Below is a relaxed structure of KSiPtW2, with properties calculated at the PBE level.

extended XYZ file:
```
5
Lattice="4.584 0.000 0.000 0.000 4.584 0.000 0.000 0.000 5.194" Properties=species:S:1:pos:R:3 pbc="T T T"
K 0.000 0.000 0.000
Si 0.000 0.000 2.597
Pt 2.292 2.292 0.000
W 0.000 2.292 2.597
W 2.292 0.000 2.597
```

Calculated values
Its magnetic moment is 0.255 μB/atom. Its space group is No. 123. Its total energy is -5.989 eV/atom. The density of states at the Fermi level comes out at 5.1 states/eV/f.u.

(4)
Below is a relaxed structure of KZn2SiPt, with properties calculated at the PBE level.

extended XYZ file:
```
5
Lattice="4.980 0.000 0.000 0.000 4.980 0.000 0.000 0.000 4.692" Properties=species:S:1:pos:R:3 pbc="T T T"
K 0.000 0.000 0.000
Zn 0.000 2.490 2.346
Zn 2.490 0.000 2.346
Si 2.490 2.490 0.000
Pt 2.490 2.490 2.346
```

Calculated values
Its magnetic moment is 0.000 μB/atom. Its space group is No. 123. Its total energy is -3.168 eV/atom. The density of states at the Fermi level comes out at 2.6 states/eV/f.u.

| no. | raw formation energy (eV per formula unit) |
| --- | --- |
| 1 | 1.24 |
| 2 | 4.70 |
| 3 | 8.52 |
| 4 | -0.73 |